# Mn3CF GGA+U relaxed
data_Mn3CF
_symmetry_space_group_name_H-M 'P m -3 m'
_symmetry_Int_Tables_number 221
_symmetry_space_group_name_Hall '-P 4 2 3'
_cell_length_a 4.285
_cell_length_b 4.285
_cell_length_c 4.285
_cell_angle_alpha 90.00
_cell_angle_beta 90.00
_cell_angle_gamma 90.00
loop_
_atom_site_label
_atom_site_type_symbol
_atom_site_fract_x
_atom_site_fract_y
_atom_site_fract_z
_atom_site_occupancy
Mn1 Mn 0.000 0.000 0.500 1
C1 C 0.000 0.000 0.000 1
F1 F 0.500 0.500 0.500 1
# * uncorrected energy: -33.317 eV/cell
# * total moment: 14.000 μB/f.u.